Below is a geometry-optimized Na3Ac2NiO6 structure, with properties calculated at the PBE+U level.

Results
Energy   -67.533 eV per cell
Total magnetic moment   3.1 μB/f.u.

Cell and atoms, written as POSCAR:
```
Na3Ac2NiO6
1.0
6.231 -0.088 0.063
-3.190 5.353 0.063
-0.953 -1.650 5.631
Ni O Na Ac
1 6 3 2
Direct
0.000 0.000 0.000 Ni
0.940 0.661 0.791 O
0.060 0.339 0.209 O
0.745 0.745 0.218 O
0.661 0.940 0.791 O
0.339 0.060 0.209 O
0.255 0.255 0.782 O
0.873 0.127 0.500 Na
0.127 0.873 0.500 Na
0.500 0.500 0.500 Na
0.333 0.667 0.000 Ac
0.667 0.333 0.000 Ac
```